# 1
## TmNiP (meta-GGA SCAN)

Data for a crystal of TmNiP relaxed with PBEsol.

Calculated values
- Crystal system: hexagonal
- Mass density: 9.1 g/cm3
- DFT total energy: -27.45 eV per atom

The structure in POSCAR format:
```
TmNiP
1.0
3.826 0.000 0.000
-1.913 3.313 0.000
0.000 0.000 7.456
Tm Ni P
2 2 2
direct
0.000 0.000 0.000 Tm
0.000 0.000 0.500 Tm
0.667 0.333 0.250 Ni
0.333 0.667 0.750 Ni
0.667 0.333 0.750 P
0.333 0.667 0.250 P
```

=====

# 2
## UNiP2 (meta-GGA SCAN)

Data for a crystal of UNiP2 relaxed with PBEsol.

Calculated values
- Crystal system: orthorhombic
- Mass density: 9.8 g/cm3
- DFT total energy: -35.86 eV per atom

The structure in POSCAR format:
```
UNiP2
1.0
3.763 0.000 0.000
0.000 3.751 0.000
0.000 0.000 12.965
Ni P U
3 6 3
direct
0.500 0.500 0.173 Ni
0.000 0.000 0.821 Ni
0.000 0.000 0.175 Ni
0.500 0.000 0.907 P
0.000 0.500 0.727 P
0.000 0.000 0.506 P
0.500 0.000 0.080 P
0.500 0.500 0.506 P
0.000 0.500 0.277 P
0.500 0.000 0.356 U
0.500 0.000 0.657 U
0.000 0.500 0.988 U
```

=====

# 3
## UNi2P2 (meta-GGA SCAN)

Data for a crystal of UNi2P2 relaxed with PBEsol.

Calculated values
- Crystal system: tetragonal
- Mass density: 10.3 g/cm3
- DFT total energy: -32.04 eV per atom

The structure in POSCAR format:
```
UNi2P2
1.0
3.696 0.000 0.000
0.000 3.696 0.000
-1.848 -1.848 4.935
U Ni P
1 2 2
direct
0.000 0.000 0.000 U
0.250 0.750 0.500 Ni
0.750 0.250 0.500 Ni
0.620 0.620 0.239 P
0.380 0.380 0.761 P
```

=====

# 4
## VNi4P16 (meta-GGA SCAN)

Data for a crystal of VNi4P16 relaxed with PBEsol.

Calculated values
- Crystal system: monoclinic
- Mass density: 4.5 g/cm3
- DFT total energy: -12.18 eV per atom

The structure in POSCAR format:
```
VNi4P16
1.0
5.585 0.000 0.000
-2.793 9.676 -0.005
0.000 -2.080 10.771
P V Ni
32 2 8
direct
0.002 0.119 0.866 P
0.998 0.881 0.134 P
0.603 0.283 0.542 P
0.342 0.121 0.083 P
0.733 0.719 0.221 P
0.265 0.991 0.891 P
0.856 0.576 0.447 P
0.267 0.281 0.779 P
0.554 0.442 0.312 P
0.721 0.576 0.947 P
0.446 0.558 0.688 P
0.726 0.991 0.391 P
0.735 0.009 0.109 P
0.888 0.442 0.812 P
0.274 0.009 0.609 P
0.680 0.283 0.042 P
0.279 0.424 0.053 P
0.222 0.879 0.417 P
0.381 0.764 0.164 P
0.658 0.879 0.917 P
0.397 0.717 0.458 P
0.014 0.281 0.279 P
0.144 0.424 0.553 P
0.112 0.558 0.188 P
0.986 0.719 0.721 P
0.382 0.764 0.664 P
0.320 0.717 0.958 P
0.619 0.236 0.836 P
0.778 0.121 0.583 P
0.117 0.119 0.366 P
0.883 0.881 0.634 P
0.618 0.236 0.336 P
0.607 0.000 0.750 V
0.393 0.000 0.250 V
0.987 0.788 0.926 Ni
0.306 0.501 0.871 Ni
0.801 0.788 0.426 Ni
0.195 0.501 0.371 Ni
0.805 0.499 0.629 Ni
0.199 0.212 0.574 Ni
0.013 0.212 0.074 Ni
0.694 0.499 0.129 Ni
```

=====

# 5
## Ni4P16W (meta-GGA SCAN)

Data for a crystal of Ni4P16W relaxed with PBEsol.

Calculated values
- Crystal system: monoclinic
- Mass density: 5.1 g/cm3
- DFT total energy: -14.63 eV per atom

The structure in POSCAR format:
```
Ni4P16W
1.0
-2.051 -5.184 -0.766
8.006 -1.019 6.131
-7.940 2.050 7.384
P W Ni
32 2 8
direct
0.317 0.716 0.957 P
0.343 0.124 0.081 P
0.017 0.282 0.279 P
0.683 0.284 0.043 P
0.731 0.990 0.392 P
0.983 0.718 0.721 P
0.259 0.990 0.892 P
0.269 0.010 0.608 P
0.444 0.557 0.688 P
0.625 0.242 0.339 P
0.280 0.425 0.053 P
0.219 0.876 0.419 P
0.735 0.718 0.221 P
0.885 0.877 0.632 P
0.657 0.876 0.919 P
0.113 0.557 0.188 P
0.375 0.758 0.661 P
0.265 0.282 0.779 P
0.384 0.758 0.161 P
0.144 0.425 0.553 P
0.887 0.443 0.812 P
0.856 0.575 0.447 P
0.556 0.443 0.312 P
0.741 0.010 0.108 P
0.007 0.123 0.868 P
0.993 0.877 0.132 P
0.115 0.123 0.368 P
0.781 0.124 0.581 P
0.616 0.242 0.839 P
0.398 0.716 0.457 P
0.602 0.284 0.543 P
0.720 0.575 0.947 P
0.605 0.000 0.750 W
0.395 0.000 0.250 W
0.987 0.787 0.926 Ni
0.695 0.499 0.129 Ni
0.200 0.213 0.574 Ni
0.013 0.213 0.074 Ni
0.805 0.499 0.629 Ni
0.195 0.501 0.371 Ni
0.305 0.501 0.871 Ni
0.800 0.787 0.426 Ni
```

=====

# 6
## Ni2PW (meta-GGA SCAN)

Data for a crystal of Ni2PW relaxed with PBEsol.

Calculated values
- Crystal system: orthorhombic
- Mass density: 11.6 g/cm3
- DFT total energy: -28.10 eV per atom

The structure in POSCAR format:
```
Ni2PW
1.0
-0.594 -0.330 -2.988
3.060 -2.354 -0.349
-2.332 -3.152 0.811
W Ni P
1 2 1
direct
0.000 0.500 0.500 W
0.000 0.000 0.000 Ni
0.500 0.500 0.000 Ni
0.500 0.000 0.500 P
```

=====

# 7
## Ni2PW (meta-GGA SCAN)

Data for a crystal of Ni2PW relaxed with PBEsol.

Calculated values
- Crystal system: orthorhombic
- Mass density: 11.2 g/cm3
- DFT total energy: -28.00 eV per atom

The structure in POSCAR format:
```
Ni2PW
1.0
2.707 0.026 0.041
-0.041 4.453 0.030
-0.041 -1.835 4.058
P Ni W
1 2 1
direct
0.500 0.500 0.500 P
0.000 0.500 0.000 Ni
0.000 0.000 0.500 Ni
0.500 0.000 0.000 W
```

=====

# 8
## Ni2PW (meta-GGA SCAN)

Data for a crystal of Ni2PW relaxed with PBEsol.

Calculated values
- Crystal system: orthorhombic
- Mass density: 11.3 g/cm3
- DFT total energy: -28.21 eV per atom

The structure in POSCAR format:
```
Ni2PW
1.0
2.958 0.000 0.000
0.000 3.372 0.000
-1.479 0.000 4.873
P W Ni
1 1 2
direct
0.307 0.000 0.613 P
0.702 0.500 0.404 W
0.055 0.000 0.110 Ni
0.442 0.500 0.883 Ni
```

=====

# 9
## Ni2PW (meta-GGA SCAN)

Data for a crystal of Ni2PW relaxed with PBEsol.

Calculated values
- Crystal system: monoclinic
- Mass density: 11.4 g/cm3
- DFT total energy: -28.16 eV per atom

The structure in POSCAR format:
```
Ni2PW
1.0
-1.093 -0.382 2.447
-3.881 -1.124 -1.909
3.243 -3.204 -0.549
P Ni W
1 2 1
direct
0.525 0.418 0.050 P
0.983 0.976 0.967 Ni
0.216 0.784 0.433 Ni
0.775 0.322 0.550 W
```

=====

# 10
## Y2NiP (meta-GGA SCAN)

Data for a crystal of Y2NiP relaxed with PBEsol.

Calculated values
- Crystal system: trigonal
- Mass density: 5.2 g/cm3
- DFT total energy: -21.46 eV per atom

The structure in POSCAR format:
```
Y2NiP
1.0
-1.009 -2.150 -3.080
2.741 -1.770 -2.118
0.129 -6.591 2.103
Y P Ni
2 1 1
direct
0.250 0.250 0.251 Y
0.750 0.750 0.749 Y
0.500 0.500 0.500 P
0.000 0.000 0.000 Ni
```